Computed, not measured: crystalline Ac4OsSe2Br at its relaxed geometry at the GGA-PBE level of DFT.

- total DFT energy (no corrections) (eV per atom) = -5.74
- total magnetic moment (μB per atom) = 0.000
- calculated density (g/cm³) = 8.53

Cell: 4.367 7.858 7.931 Å, 72.91 90.00 90.00°
Positions (direct):
Se 0.500 0.000 0.500
Se 0.000 0.000 0.000
Ac 0.500 0.725 0.282
Ac 0.500 0.275 0.718
Ac 0.000 0.747 0.724
Ac 0.000 0.253 0.276
Br 0.500 0.500 0.000
Os 0.000 0.500 0.500